The following is a DFT calculation (PBE-GGA) of a relaxed structure of MgCd4In2.

Cell: 5.3969 5.3969 14.8803 Å, 90.00 90.00 90.00°
Space group I4/mmm (No. 139)
Symmetry-distinct sites (fractional):
1 Mg 0.0000 0.0000 0.0000
2 Cd 0.0000 0.0000 0.1923
3 Cd 0.0000 0.5000 0.0000
4 In 0.0000 0.0000 0.3873

Output
Excess energy over the best structure of this formula in the dataset ... 234 meV per atom
Fermi-level density of states ... 0.401 states/eV/atom
E_form ... 0.27 eV per atom